Entry from the Open Quantum Materials Database: an optimized crystal structure of Na2Pd3Pb (GGA-PBE).

Values from the calculation:
- total energy (eV per atom) = -3.92

Geometry as CIF:
```
data_Na2Pd3Pb
_space_group_name_H-M_alt 'R -3 m'
_space_group_IT_number 166
_space_group_name_Hall '-R 3 2"'
_cell_length_a 5.6505
_cell_length_b 5.6505
_cell_length_c 13.2119
_cell_angle_alpha 90.00
_cell_angle_beta 90.00
_cell_angle_gamma 120.00
loop_
_atom_site_label
_atom_site_type_symbol
_atom_site_fract_x
_atom_site_fract_y
_atom_site_fract_z
Na1 Na 0.0000 0.0000 0.1191
Pd1 Pd 0.0000 0.5000 0.0000
Pb1 Pb 0.0000 0.0000 0.5000
```